[1]
Material: LiPmNdPt
Method: DFT, PBE
State: optimized geometry

Calculated values
Energy of formation   -535 meV/atom
SG   No. 216
Density   8.53 g/cm3

Unit cell a=7.261 b=7.261 c=7.261 alpha=90.00 beta=90.00 gamma=90.00
Sites, in units of the cell vectors:
Li (0.000, 0.000, 0.000)
Li (0.000, 0.500, 0.500)
Li (0.500, 0.000, 0.500)
Li (0.500, 0.500, 0.000)
Pm (0.250, 0.250, 0.750)
Pm (0.250, 0.750, 0.250)
Pm (0.750, 0.250, 0.250)
Pm (0.750, 0.750, 0.750)
Nd (0.250, 0.250, 0.250)
Nd (0.250, 0.750, 0.750)
Nd (0.750, 0.250, 0.750)
Nd (0.750, 0.750, 0.250)
Pt (0.000, 0.000, 0.500)
Pt (0.000, 0.500, 0.000)
Pt (0.500, 0.000, 0.000)
Pt (0.500, 0.500, 0.500)


[2]
Material: Ac4SiSe2Cl
Method: DFT, PBE
State: optimized geometry

Calculated values
Raw formation energy   -1.4964 eV/atom
SG   No. 10
Density   7.37 g/cm3

Unit cell a=7.720 b=4.493 c=7.778 alpha=90.00 beta=109.28 gamma=90.00
Sites, in units of the cell vectors:
Ac (0.236, 0.000, 0.249)
Ac (0.237, 0.500, 0.742)
Ac (0.763, 0.500, 0.258)
Ac (0.764, 0.000, 0.751)
Si (0.000, 0.000, 0.500)
Se (0.000, 0.500, 0.000)
Se (0.500, 0.000, 0.000)
Cl (0.500, 0.500, 0.500)


[3]
Material: KBa2SbSe4
Method: DFT, PBE
State: optimized geometry

Calculated values
Raw formation energy   -1.2625 eV/atom
SG   No. 74
Density   4.70 g/cm3

Unit cell a=9.073 b=9.073 c=9.073 alpha=120.13 beta=119.20 gamma=90.58
Sites, in units of the cell vectors:
K (0.000, 0.000, 0.000)
K (0.500, 0.000, 0.500)
Ba (0.000, 0.500, 0.500)
Ba (0.500, 0.000, 0.000)
Ba (0.500, 0.500, 0.000)
Ba (0.500, 0.500, 0.500)
Sb (0.000, 0.000, 0.500)
Sb (0.000, 0.500, 0.000)
Se (0.223, 0.249, 0.974)
Se (0.225, 0.751, 0.474)
Se (0.233, 0.235, 0.502)
Se (0.233, 0.731, 0.998)
Se (0.767, 0.269, 0.002)
Se (0.767, 0.765, 0.498)
Se (0.775, 0.249, 0.526)
Se (0.777, 0.751, 0.026)


[4]
Material: Ac3BiPd
Method: DFT, PBE
State: optimized geometry

Calculated values
Energy of formation   -446 meV/atom
SG   No. 221
Density   8.14 g/cm3

Unit cell a=5.879 b=5.879 c=5.879 alpha=90.00 beta=90.00 gamma=90.00
Sites, in units of the cell vectors:
Ac (0.000, 0.000, 0.500)
Ac (0.000, 0.500, 0.000)
Ac (0.500, 0.000, 0.000)
Bi (0.500, 0.500, 0.500)
Pd (0.000, 0.000, 0.000)


[5]
Material: Y2ZrCr
Method: DFT, PBE
State: optimized geometry

Calculated values
Energy of formation   300 meV/atom
SG   No. 47
Density   5.30 g/cm3

Unit cell a=3.511 b=3.525 c=8.125 alpha=90.00 beta=90.00 gamma=90.00
Sites, in units of the cell vectors:
Y (0.000, 0.000, 0.222)
Y (0.000, 0.000, 0.778)
Zr (0.500, 0.500, 0.500)
Cr (0.500, 0.500, 0.000)


[6]
Material: AcTb4Tl2
Method: DFT, PBE
State: optimized geometry

Calculated values
Energy of formation   95 meV/atom
SG   No. 166
Density   8.39 g/cm3

Unit cell a=11.445 b=11.445 c=11.445 alpha=25.88 beta=25.88 gamma=25.88
Sites, in units of the cell vectors:
Ac (0.000, 0.000, 0.000)
Tb (0.201, 0.201, 0.201)
Tb (0.399, 0.399, 0.399)
Tb (0.601, 0.601, 0.601)
Tb (0.799, 0.799, 0.799)
Tl (0.103, 0.103, 0.103)
Tl (0.897, 0.897, 0.897)


[7]
Material: CaNbAu
Method: DFT, PBE
State: optimized geometry

Calculated values
Energy of formation   -48 meV/atom
SG   No. 44
Density   7.74 g/cm3

Unit cell a=4.705 b=7.455 c=8.071 alpha=90.00 beta=90.00 gamma=90.00
Sites, in units of the cell vectors:
Ca (0.000, 0.000, 0.000)
Ca (0.000, 0.500, 0.134)
Ca (0.500, 0.000, 0.634)
Ca (0.500, 0.500, 0.500)
Nb (0.000, 0.340, 0.733)
Nb (0.000, 0.660, 0.733)
Nb (0.500, 0.160, 0.233)
Nb (0.500, 0.840, 0.233)
Au (0.000, 0.200, 0.412)
Au (0.000, 0.800, 0.412)
Au (0.500, 0.300, 0.912)
Au (0.500, 0.700, 0.912)


[8]
Material: AgPPb
Method: DFT, PBE
State: optimized geometry

Calculated values
Energy of formation   112 meV/atom
SG   No. 187
Density   8.28 g/cm3

Unit cell a=4.310 b=4.310 c=4.312 alpha=90.00 beta=90.00 gamma=120.00
Sites, in units of the cell vectors:
Ag (0.000, 0.000, 0.000)
P (0.667, 0.333, 0.000)
Pb (0.333, 0.667, 0.500)